VASP calculation (PBE) on a geometry-optimized ZrIn structure.

```
ZrIn
1.0
9.131 0.000 0.000
0.000 9.131 0.000
0.000 0.000 9.131
Zr In
8 8
Direct
0.115 0.115 0.115
0.115 0.885 0.885
0.385 0.385 0.615
0.385 0.615 0.385
0.615 0.385 0.385
0.615 0.615 0.615
0.885 0.115 0.885
0.885 0.885 0.115
0.197 0.197 0.803
0.197 0.803 0.197
0.303 0.303 0.303
0.303 0.697 0.697
0.697 0.303 0.697
0.697 0.697 0.303
0.803 0.197 0.197
0.803 0.803 0.803
```

Summary:
The volume comes out at 761 Å³/cell. For the total magnetization, the calculation gives 0.61 μB/f.u. Its calculated total energy is -4.754 eV/atom.

VASP calculation (PBE) on a geometry-optimized BaMo2Pb structure.

```
BaMo2Pb
1.0
3.616 0.000 0.000
0.000 5.057 0.000
0.000 0.000 10.098
Ba Mo Pb
2 4 2
Direct
0.000 0.000 0.000
0.500 0.500 0.000
0.000 0.500 0.281
0.000 0.500 0.719
0.500 0.000 0.281
0.500 0.000 0.719
0.000 0.000 0.500
0.500 0.500 0.500
```

Summary:
The volume comes out at 185 Å³/cell. For the total magnetization, the calculation gives 0.00 μB/f.u. Its calculated total energy is -5.582 eV/atom.

VASP calculation (PBE) on a geometry-optimized Ac2TlSn4Rh3 structure.

```
Ac2TlSn4Rh3
1.0
4.683 0.000 0.000
0.000 4.683 0.000
0.000 0.000 11.165
Ac Tl Sn Rh
2 1 4 3
Direct
0.000 0.500 0.242
0.500 0.000 0.758
0.000 0.000 0.500
0.000 0.000 0.000
0.000 0.500 0.648
0.500 0.000 0.352
0.500 0.500 0.000
0.000 0.500 0.881
0.500 0.000 0.119
0.500 0.500 0.500
```

Summary:
The volume comes out at 245 Å³/cell. For the total magnetization, the calculation gives 0.00 μB/f.u. Its calculated total energy is -5.447 eV/atom.

What is the formula in the second record? BaMo2Pb